Below is RuPb3O after structural relaxation, with properties calculated at the PBEsol level.

Unit cell a=4.7550 b=4.7550 c=4.7550 alpha=90.00 beta=90.00 gamma=90.00
Space group Pm-3m (No. 221)
Symmetry-distinct sites (fractional):
Ru 0.0000 0.0000 0.0000 [1 per cell]
Pb 0.0000 0.5000 0.5000 [3 per cell]
O 0.5000 0.5000 0.5000 [1 per cell]

Values from the calculation:
- magnetization (μB/f.u.) = 0.00
- E_form (uncorrected) (eV/f.u.) = 1.800
- mass density (g cm⁻³) = 11.41


Below is TeMoRhAu2 after structural relaxation, with properties calculated at the PBEsol level.

Unit cell a=4.9866 b=4.9866 c=4.5572 alpha=90.00 beta=90.00 gamma=90.00
Space group P4/mmm (No. 123)
Symmetry-distinct sites (fractional):
Te 0.0000 0.0000 0.0000 [1 per cell]
Mo 0.5000 0.5000 0.5000 [1 per cell]
Rh 0.5000 0.5000 0.0000 [1 per cell]
Au 0.0000 0.5000 0.5000 [2 per cell]

Values from the calculation:
- magnetization (μB/f.u.) = 0.00
- E_form (uncorrected) (eV/f.u.) = 6.168
- mass density (g cm⁻³) = 10.56


Below is NaSbMo3 after structural relaxation, with properties calculated at the PBEsol level.

Unit cell a=4.5365 b=4.5365 c=4.5365 alpha=90.00 beta=90.00 gamma=90.00
Space group Pm-3m (No. 221)
Symmetry-distinct sites (fractional):
Na 0.0000 0.0000 0.0000 [1 per cell]
Sb 0.5000 0.5000 0.5000 [1 per cell]
Mo 0.0000 0.0000 0.5000 [3 per cell]

Values from the calculation:
- magnetization (μB/f.u.) = 3.38
- E_form (uncorrected) (eV/f.u.) = 12.430
- mass density (g cm⁻³) = 7.69